First-principles (PBE-GGA) data for a relaxed structure of LaY2Au, as listed in the Alexandria database.

Computed properties:
Size of the total moment = 0.00 μB/atom
D(E_F) = 1.22 states/eV per atom
Energy of formation from the pure elements = -0.300 eV per atom
Offset from the most stable computed form = 51.8 kJ/mol of formula units

Cell lengths 4.655, 4.070, 12.805 Å; angles 90.00, 90.00, 90.00 degrees
Space group Amm2 (No. 38)
Unique sites:
La 0.000 0.000 0.000
Y 0.000 0.000 0.276
Y 0.500 0.000 0.662
Au 0.500 0.000 0.420